1.
## PrGeSb (PBE)

Data for PrGeSb after structural relaxation.

a b c (Å): 5.138 5.138 5.138
angles (deg): 60.00 60.00 60.00
Atoms (fractional coordinates):
Pr (0.000, 0.000, 0.000)
Ge (0.500, 0.500, 0.500)
Sb (0.750, 0.750, 0.750)

Properties
Final energy = -14.2 eV per cell

---

2.
## NaTmPO (PBE)

Data for NaTmPO after structural relaxation.

a b c (Å): 3.805 3.805 10.009
angles (deg): 90.00 90.00 90.00
Atoms (fractional coordinates):
Na (0.250, 0.750, 0.000)
Na (0.750, 0.250, 0.000)
Tm (0.250, 0.250, 0.391)
Tm (0.750, 0.750, 0.609)
P (0.250, 0.250, 0.789)
P (0.750, 0.750, 0.211)
O (0.250, 0.750, 0.500)
O (0.750, 0.250, 0.500)

Properties
Relative energy among the computed polymorphs = 2.6 kJ per mole of atoms

---

3.
## CsTaBe (PBE)

Data for CsTaBe after structural relaxation.

a b c (Å): 4.791 4.791 4.791
angles (deg): 60.00 60.00 60.00
Atoms (fractional coordinates):
Cs (0.000, 0.000, 0.000)
Ta (0.750, 0.750, 0.750)
Be (0.500, 0.500, 0.500)

Properties
Relative energy among the computed polymorphs = 0.0 kJ per mole of atoms

---

4.
## Zr4AgPd (PBE)

Data for Zr4AgPd after structural relaxation.

a b c (Å): 4.634 6.236 6.236
angles (deg): 136.41 90.00 90.00
Atoms (fractional coordinates):
Zr (0.000, 0.160, 0.840)
Zr (0.000, 0.840, 0.160)
Zr (0.500, 0.340, 0.661)
Zr (0.500, 0.661, 0.340)
Ag (0.500, 0.002, 0.002)
Pd (0.000, 0.498, 0.498)

Properties
Relative energy among the computed polymorphs = 1.2 kJ per mole of atoms
Energy relative to the elements = -1.75 eV/f.u.

---

5.
## ScZnFePd (PBE)

Data for ScZnFePd after structural relaxation.

a b c (Å): 4.412 4.412 4.412
angles (deg): 60.00 60.00 60.00
Atoms (fractional coordinates):
Sc (0.000, 0.000, 0.000)
Zn (0.500, 0.500, 0.500)
Fe (0.750, 0.750, 0.750)
Pd (0.250, 0.250, 0.250)

Properties
Relative energy among the computed polymorphs = 0.0 kJ per mole of atoms
Energy relative to the elements = -1.18 eV/f.u.

---

6.
## Lu4Ta2Al3C3 (PBE)

Data for Lu4Ta2Al3C3 after structural relaxation.

a b c (Å): 5.838 5.838 14.754
angles (deg): 101.92 101.92 60.14
Atoms (fractional coordinates):
Lu (0.043, 0.190, 0.097)
Lu (0.122, 0.301, 0.403)
Lu (0.190, 0.043, 0.597)
Lu (0.301, 0.122, 0.903)
Lu (0.699, 0.878, 0.097)
Lu (0.810, 0.957, 0.403)
Lu (0.878, 0.699, 0.597)
Lu (0.957, 0.810, 0.903)
Ta (0.349, 0.525, 0.075)
Ta (0.475, 0.651, 0.425)
Ta (0.525, 0.349, 0.575)
Ta (0.651, 0.475, 0.925)
Al (0.154, 0.846, 0.250)
Al (0.318, 0.417, 0.752)
Al (0.417, 0.318, 0.252)
Al (0.583, 0.682, 0.748)
Al (0.682, 0.583, 0.248)
Al (0.846, 0.154, 0.750)
C (0.000, 0.500, 0.000)
C (0.194, 0.653, 0.500)
C (0.347, 0.806, 0.000)
C (0.500, 0.000, 0.500)
C (0.653, 0.194, 0.000)
C (0.806, 0.347, 0.500)

Properties
Final energy = -173.2 eV per cell

---

7.
## GdTaPt (PBE)

Data for GdTaPt after structural relaxation.

a b c (Å): 4.642 4.642 4.642
angles (deg): 60.00 60.00 60.00
Atoms (fractional coordinates):
Gd (0.000, 0.000, 0.000)
Ta (0.500, 0.500, 0.500)
Pt (0.250, 0.250, 0.250)

Properties
Energy relative to the elements = -0.24 eV/f.u.

---

8.
## PmScTc (PBE)

Data for PmScTc after structural relaxation.

a b c (Å): 4.645 4.645 4.645
angles (deg): 60.00 60.00 60.00
Atoms (fractional coordinates):
Pm (0.000, 0.000, 0.000)
Sc (0.250, 0.250, 0.250)
Tc (0.500, 0.500, 0.500)

Properties
Energy relative to the elements = 2.31 eV/f.u.

---

9.
## Zr4SbC2Se (PBE)

Data for Zr4SbC2Se after structural relaxation.

a b c (Å): 3.465 3.465 13.386
angles (deg): 90.00 90.00 120.00
Atoms (fractional coordinates):
Zr (0.000, 0.000, 0.146)
Zr (0.000, 0.000, 0.854)
Zr (0.667, 0.333, 0.329)
Zr (0.667, 0.333, 0.671)
Sb (0.000, 0.000, 0.500)
C (0.333, 0.667, 0.238)
C (0.333, 0.667, 0.762)
Se (0.667, 0.333, 0.000)

Properties
Final energy = -68.2 eV per cell

---

10.
## BPt (PBE)

Data for BPt after structural relaxation.

a b c (Å): 3.103 3.103 5.649
angles (deg): 90.00 90.00 120.00
Atoms (fractional coordinates):
B (0.333, 0.667, 0.413)
B (0.667, 0.333, 0.587)
Pt (0.333, 0.667, 0.793)
Pt (0.667, 0.333, 0.207)

Properties
Final energy = -26.2 eV per cell

---

11.
## Na2BiIrO6 (PBE)

Data for Na2BiIrO6 after structural relaxation.

a b c (Å): 5.823 5.823 5.823
angles (deg): 60.00 60.00 60.00
Atoms (fractional coordinates):
Na (0.250, 0.250, 0.250)
Na (0.750, 0.750, 0.750)
Bi (0.000, 0.000, 0.000)
Ir (0.500, 0.500, 0.500)
O (0.268, 0.268, 0.732)
O (0.268, 0.732, 0.268)
O (0.268, 0.732, 0.732)
O (0.732, 0.268, 0.268)
O (0.732, 0.268, 0.732)
O (0.732, 0.732, 0.268)

Properties
Final energy = -54.6 eV per cell

---

12.
## TbLuGe2Os (PBE)

Data for TbLuGe2Os after structural relaxation.

a b c (Å): 5.744 5.744 10.054
angles (deg): 115.51 115.51 43.88
Atoms (fractional coordinates):
Tb (0.186, 0.186, 0.114)
Tb (0.814, 0.814, 0.886)
Lu (0.001, 0.001, 0.672)
Lu (0.999, 0.999, 0.328)
Ge (0.360, 0.360, 0.439)
Ge (0.487, 0.487, 0.127)
Ge (0.513, 0.513, 0.873)
Ge (0.640, 0.640, 0.561)
Os (0.268, 0.268, 0.630)
Os (0.732, 0.732, 0.370)

Properties
Final energy = -66.2 eV per cell